Here is crystalline GaSi2Ni at its relaxed geometry from the Alexandria database. Energies are from GGA-PBE.

Cell: 4.0695 4.0695 15.1301 Å, 90.00 90.00 90.00°
Space group I-42d (No. 122)
Inequivalent atoms, fractional coordinates:
Ga 0.0000 0.0000 0.0000 [4 per cell]
Si 0.1842 0.2500 0.6250 [8 per cell]
Ni 0.0000 0.0000 0.5000 [4 per cell]

For the formation energy from raw total energies, the calculation gives 0.012 eV per atom. For the density of states at the Fermi level, the calculation gives 7.60 states/eV per cell.